--- A ---
The following is a PBE calculation of crystalline Tb3Pm2Pr6 at its relaxed geometry, from the Alexandria database.

Values from the calculation:
Symmetry: P-1
DOS(E_F): 15.66 states/eV/cell
Mass density: 7.01 g/cm³

a = 6.345 Å, b = 8.198 Å, c = 15.090 Å
α = 49.30°, β = 60.61°, γ = 97.28°
Atoms (fractional coordinates):
1 Pr 0.182 0.276 0.454
2 Pr 0.271 0.908 0.183
3 Pr 0.729 0.092 0.817
4 Pr 0.818 0.724 0.546
5 Pr 0.908 0.363 0.272
6 Pr 0.092 0.637 0.728
7 Pm 0.640 0.457 0.090
8 Pm 0.360 0.543 0.910
9 Tb 0.000 0.000 0.000
10 Tb 0.548 0.819 0.362
11 Tb 0.452 0.181 0.638

--- B ---
The following is a PBE calculation of crystalline Tb3Pm2Pr6 at its relaxed geometry, from the Alexandria database.

Values from the calculation:
Symmetry: I4/mmm
DOS(E_F): 16.20 states/eV/cell
Mass density: 6.70 g/cm³

a = 4.807 Å, b = 4.807 Å, c = 17.609 Å
α = 97.85°, β = 97.85°, γ = 90.00°
Atoms (fractional coordinates):
1 Tb 0.194 0.194 0.388
2 Tb 0.806 0.806 0.612
3 Tb 0.000 0.000 0.000
4 Pm 0.455 0.455 0.911
5 Pm 0.545 0.545 0.089
6 Pr 0.621 0.121 0.241
7 Pr 0.293 0.293 0.587
8 Pr 0.121 0.621 0.241
9 Pr 0.707 0.707 0.413
10 Pr 0.879 0.379 0.759
11 Pr 0.379 0.879 0.759

The energy of each structure relative to the most stable one, in kJ/mol of atoms, is as follows: A 0.0; B 25.6.

--- A ---
The following is a PBE calculation of crystalline TbPm3Pr at its relaxed geometry, from the Alexandria database.

Values from the calculation:
Symmetry: P-1
DOS(E_F): 14.09 states/eV/cell
Mass density: 7.09 g/cm³

a = 6.634 Å, b = 11.868 Å, c = 6.612 Å
α = 124.17°, β = 120.05°, γ = 89.58°
Atoms (fractional coordinates):
1 Pr 0.000 0.000 0.000
2 Pr 0.000 0.500 0.000
3 Tb 0.544 0.186 0.247
4 Tb 0.456 0.814 0.753
5 Pm 0.869 0.813 0.331
6 Pm 0.709 0.188 0.835
7 Pm 0.131 0.187 0.669
8 Pm 0.308 0.458 0.610
9 Pm 0.291 0.812 0.165
10 Pm 0.692 0.542 0.390

--- B ---
The following is a PBE calculation of crystalline TbPm3Pr at its relaxed geometry, from the Alexandria database.

Values from the calculation:
Symmetry: C2/m
DOS(E_F): 17.35 states/eV/cell
Mass density: 7.06 g/cm³

a = 3.682 Å, b = 8.685 Å, c = 11.381 Å
α = 74.46°, β = 99.31°, γ = 90.00°
Atoms (fractional coordinates):
1 Tb 0.218 0.180 0.436
2 Tb 0.782 0.820 0.564
3 Pm 0.816 0.384 0.631
4 Pm 0.184 0.616 0.369
5 Pm 0.983 0.215 0.966
6 Pm 0.618 0.982 0.236
7 Pm 0.382 0.018 0.764
8 Pm 0.017 0.785 0.034
9 Pr 0.585 0.412 0.170
10 Pr 0.415 0.588 0.830

The energy of each structure relative to the most stable one, in kJ/mol of atoms, is as follows: A 12.5; B 0.0.

--- A ---
The following is a PBE calculation of crystalline Tb7Pm2Pr2 at its relaxed geometry, from the Alexandria database.

Values from the calculation:
Symmetry: C2/m
DOS(E_F): 17.21 states/eV/cell
Mass density: 7.53 g/cm³

a = 6.117 Å, b = 8.724 Å, c = 8.724 Å
α = 83.77°, β = 63.66°, γ = 63.66°
Atoms (fractional coordinates):
1 Tb 0.000 0.000 0.000
2 Tb 0.377 0.409 0.409
3 Tb 0.623 0.591 0.591
4 Tb 0.825 0.936 0.409
5 Tb 0.175 0.064 0.591
6 Tb 0.175 0.591 0.064
7 Tb 0.825 0.409 0.936
8 Pm 0.500 0.782 0.218
9 Pm 0.500 0.218 0.782
10 Pr 0.119 0.234 0.234
11 Pr 0.881 0.766 0.766

--- B ---
The following is a PBE calculation of crystalline Tb7Pm2Pr2 at its relaxed geometry, from the Alexandria database.

Values from the calculation:
Symmetry: C2/m
DOS(E_F): 17.86 states/eV/cell
Mass density: 7.50 g/cm³

a = 8.145 Å, b = 10.516 Å, c = 8.145 Å
α = 126.06°, β = 88.29°, γ = 53.94°
Atoms (fractional coordinates):
1 Tb 0.764 0.324 0.759
2 Tb 0.759 0.676 0.764
3 Tb 0.655 0.077 0.345
4 Tb 0.241 0.324 0.236
5 Tb 0.236 0.676 0.241
6 Tb 0.345 0.923 0.655
7 Tb 0.000 0.500 0.000
8 Pr 0.785 0.310 0.215
9 Pr 0.215 0.690 0.785
10 Pm 0.713 0.000 0.713
11 Pm 0.287 0.000 0.287

The energy of each structure relative to the most stable one, in kJ/mol of atoms, is as follows: A 0.5; B 0.0.

--- A ---
The following is a PBE calculation of crystalline Tb2PmPr6 at its relaxed geometry, from the Alexandria database.

Values from the calculation:
Symmetry: C2/c
DOS(E_F): 22.45 states/eV/cell
Mass density: 6.86 g/cm³

a = 6.132 Å, b = 13.614 Å, c = 13.614 Å
α = 124.03°, β = 69.68°, γ = 69.68°
Atoms (fractional coordinates):
1 Tb 0.135 0.324 0.505
2 Tb 0.865 0.676 0.495
3 Tb 0.365 0.495 0.676
4 Tb 0.635 0.505 0.324
5 Pr 0.464 0.385 0.059
6 Pr 0.136 0.180 0.649
7 Pr 0.536 0.615 0.941
8 Pr 0.891 0.169 0.224
9 Pr 0.864 0.820 0.351
10 Pr 0.036 0.941 0.615
11 Pr 0.636 0.649 0.180
12 Pr 0.609 0.776 0.831
13 Pr 0.391 0.224 0.169
14 Pr 0.364 0.351 0.820
15 Pr 0.109 0.831 0.776
16 Pr 0.964 0.059 0.385
17 Pm 0.250 0.111 0.889
18 Pm 0.750 0.889 0.111

--- B ---
The following is a PBE calculation of crystalline Tb2PmPr6 at its relaxed geometry, from the Alexandria database.

Values from the calculation:
Symmetry: P4_2/mnm
DOS(E_F): 24.91 states/eV/cell
Mass density: 6.88 g/cm³

a = 5.208 Å, b = 11.010 Å, c = 11.013 Å
α = 90.00°, β = 89.99°, γ = 90.00°
Atoms (fractional coordinates):
1 Pr 0.500 0.168 0.001
2 Pr 0.000 0.334 0.165
3 Pr 0.000 0.332 0.501
4 Pr 0.500 0.832 0.999
5 Pr 0.500 0.501 0.668
6 Pr 0.000 0.666 0.835
7 Pr 0.500 0.499 0.332
8 Pr 0.000 0.001 0.832
9 Pr 0.500 0.834 0.335
10 Pr 0.000 0.668 0.499
11 Pr 0.500 0.166 0.665
12 Pr 0.000 0.999 0.168
13 Tb 0.500 0.834 0.667
14 Tb 0.000 0.334 0.833
15 Tb 0.000 0.666 0.167
16 Tb 0.500 0.166 0.333
17 Pm 0.500 0.500 0.000
18 Pm 0.000 0.000 0.500

The energy of each structure relative to the most stable one, in kJ/mol of atoms, is as follows: A 12.9; B 0.0.